## Zr2Se2S (PBE)

Data for a relaxed structure of Zr2Se2S.

Total magnetization in μB per atom: 0.000
Distance to the lowest polymorph of the same formula in eV per formula unit: 0.00
Energy in eV/atom: -7.056

a = 6.4722 Å, b = 6.4722 Å, c = 6.4722 Å
α = 147.03°, β = 130.61°, γ = 60.67°
With the nearest neighbours (Å) after each atom.
Fractional positions:
Zr 0.1617 0.1617 0.0000  2 S 2.58, 4 Se 2.71-2.76
Zr 0.8383 0.8383 0.0000  2 S 2.58, 4 Se 2.71-2.76
Se 0.3464 0.8464 0.5000  4 Zr 2.71-2.76
Se 0.6536 0.1536 0.5000  4 Zr 2.71-2.76
S 0.0000 0.5000 0.5000  4 Zr 2.58